NaLi4I5: relaxed, PBE.

```
NaLi4I5
1.0
-2.7543 -2.6596 2.0813
3.3647 -2.3914 1.3969
0.7061 11.2197 10.7088
I Na Li
5 1 4
Cartesian
0.6039 5.1920 7.4336
0.7126 0.9768 6.7535
0.2127 1.8284 2.6178
1.1038 4.3404 11.5692
0.3052 -2.5255 1.7391
0.0000 0.0000 0.0000
0.8011 6.8875 9.8611
0.4077 3.5048 5.0180
0.9088 2.6640 9.1691
0.5154 -0.7187 4.3260
```

Output
- symmetry = I4/mmm (139)
- total moment (μB per formula unit) = 0.00
- ΔE_f (raw) (eV/atom) = -1.1836
- crystal system = tetragonal
- D(E_F) (states/eV/f.u.) = 0.000